(1)
Compound: Tm2MnZn
Source: Alexandria
Functional: PBE
Structure: relaxed

- Total energy: -19.789 eV for the cell shown
- V: 21.4 Å³/atom
- Formation enthalpy at 0 K: -0.10 eV/atom

CIF file:
```
data_Tm2MnZn
_cell_length_a 3.464
_cell_length_b 3.464
_cell_length_c 7.120
_cell_angle_alpha 90.00
_cell_angle_beta 90.00
_cell_angle_gamma 90.00
_symmetry_space_group_name_H-M 'P 4/m m m'
_symmetry_Int_Tables_number 123
_symmetry_space_group_name_Hall '-P 4 2'
loop_
_atom_site_label
_atom_site_type_symbol
_atom_site_fract_x
_atom_site_fract_y
_atom_site_fract_z
Tm1 Tm 0.000 0.000 0.243
Mn1 Mn 0.500 0.500 0.000
Zn1 Zn 0.500 0.500 0.500
```

(2)
Compound: Pm12Sc5In2
Source: Alexandria
Functional: PBE
Structure: relaxed

- Total energy: -188.562 eV for the cell shown
- V: 31.1 Å³/atom
- Formation enthalpy at 0 K: -0.01 eV/atom

CIF file:
```
data_Pm12Sc5In2
_cell_length_a 13.193
_cell_length_b 10.800
_cell_length_c 8.520
_cell_angle_alpha 90.00
_cell_angle_beta 103.21
_cell_angle_gamma 90.00
_symmetry_space_group_name_H-M 'C 1 2/m 1'
_symmetry_Int_Tables_number 12
_symmetry_space_group_name_Hall '-C 2y'
loop_
_atom_site_label
_atom_site_type_symbol
_atom_site_fract_x
_atom_site_fract_y
_atom_site_fract_z
Pm1 Pm 0.088 0.000 0.207
Pm2 Pm 0.109 0.237 0.894
Pm3 Pm 0.129 0.500 0.633
Pm4 Pm 0.181 0.303 0.315
Sc1 Sc 0.000 0.500 0.000
Sc2 Sc 0.121 0.000 0.603
Sc3 Sc 0.237 0.500 0.032
In1 In 0.000 0.233 0.500
```

(3)
Compound: NdErAlIn
Source: Alexandria
Functional: PBE
Structure: relaxed

- Total energy: -69.636 eV for the cell shown
- V: 26.0 Å³/atom
- Formation enthalpy at 0 K: -0.40 eV/atom

CIF file:
```
data_NdErAlIn
_cell_length_a 7.467
_cell_length_b 7.467
_cell_length_c 7.467
_cell_angle_alpha 90.00
_cell_angle_beta 90.00
_cell_angle_gamma 90.00
_symmetry_space_group_name_H-M 'F -4 3 m'
_symmetry_Int_Tables_number 216
_symmetry_space_group_name_Hall 'F -4 2 3'
loop_
_atom_site_label
_atom_site_type_symbol
_atom_site_fract_x
_atom_site_fract_y
_atom_site_fract_z
Nd1 Nd 0.000 0.000 0.000
Er1 Er 0.000 0.000 0.500
Al1 Al 0.250 0.250 0.250
In1 In 0.250 0.250 0.750
```

(4)
Compound: Mg2C
Source: Alexandria
Functional: PBE
Structure: relaxed

- Total energy: -10.033 eV for the cell shown
- V: 17.4 Å³/atom
- Formation enthalpy at 0 K: 0.79 eV/atom

CIF file:
```
data_Mg2C
_cell_length_a 3.1967
_cell_length_b 3.1967
_cell_length_c 5.8965
_cell_angle_alpha 90.00
_cell_angle_beta 90.00
_cell_angle_gamma 120.00
_symmetry_space_group_name_H-M 'P -6 m 2'
_symmetry_Int_Tables_number 187
_symmetry_space_group_name_Hall 'P -6 2'
loop_
_atom_site_label
_atom_site_type_symbol
_atom_site_fract_x
_atom_site_fract_y
_atom_site_fract_z
Mg1 Mg 0.0000 0.0000 0.2227
C1 C 0.3333 0.6667 0.0000
```

(5)
Compound: SrCd3F8
Source: Alexandria
Functional: PBE
Structure: relaxed

- Formation energy without anion corrections: -2.33 eV per atom
- Total energy: -47.359 eV for the cell shown
- V: 16.0 Å³/atom

CIF file:
```
data_SrCd3F8
_cell_length_a 5.7607
_cell_length_b 5.7607
_cell_length_c 6.6841
_cell_angle_alpha 90.00
_cell_angle_beta 90.00
_cell_angle_gamma 120.00
_symmetry_space_group_name_H-M 'P -3'
_symmetry_Int_Tables_number 147
_symmetry_space_group_name_Hall '-P 3'
loop_
_atom_site_label
_atom_site_type_symbol
_atom_site_fract_x
_atom_site_fract_y
_atom_site_fract_z
Sr1 Sr 0.0000 0.0000 0.0000
Cd1 Cd 0.0000 0.0000 0.5000
Cd2 Cd 0.3333 0.6667 0.5971
F1 F 0.0772 0.3532 0.3252
F2 F 0.3333 0.6667 0.9149
```

(6)
Compound: TaVIrRh
Source: Alexandria
Functional: PBE
Structure: relaxed

- Total energy: -78.323 eV for the cell shown
- V: 15.0 Å³/atom
- Formation enthalpy at 0 K: -0.49 eV/atom

CIF file:
```
data_TaVIrRh
_cell_length_a 3.991
_cell_length_b 3.991
_cell_length_c 7.534
_cell_angle_alpha 90.00
_cell_angle_beta 90.00
_cell_angle_gamma 90.00
_symmetry_space_group_name_H-M 'I -4 m 2'
_symmetry_Int_Tables_number 119
_symmetry_space_group_name_Hall 'I -4 -2'
loop_
_atom_site_label
_atom_site_type_symbol
_atom_site_fract_x
_atom_site_fract_y
_atom_site_fract_z
Ta1 Ta 0.000 0.000 0.000
V1 V 0.000 0.000 0.500
Ir1 Ir 0.000 0.500 0.250
Rh1 Rh 0.000 0.500 0.750
```

(7)
Compound: PmPuHg4
Source: Alexandria
Functional: PBE
Structure: relaxed

- Total energy: -22.072 eV for the cell shown
- V: 24.8 Å³/atom
- Formation enthalpy at 0 K: -0.30 eV/atom

CIF file:
```
data_PmPuHg4
_cell_length_a 3.323
_cell_length_b 5.090
_cell_length_c 8.811
_cell_angle_alpha 90.00
_cell_angle_beta 90.00
_cell_angle_gamma 90.00
_symmetry_space_group_name_H-M 'P m m m'
_symmetry_Int_Tables_number 47
_symmetry_space_group_name_Hall '-P 2 2'
loop_
_atom_site_label
_atom_site_type_symbol
_atom_site_fract_x
_atom_site_fract_y
_atom_site_fract_z
Pm1 Pm 0.000 0.000 0.000
Pu1 Pu 0.000 0.500 0.500
Hg1 Hg 0.500 0.000 0.334
Hg2 Hg 0.500 0.500 0.167
```

(8)
Compound: Ac2Ga6Ge3
Source: Alexandria
Functional: PBE
Structure: relaxed

- Total energy: -43.541 eV for the cell shown
- V: 23.0 Å³/atom
- Formation enthalpy at 0 K: -0.30 eV/atom

CIF file:
```
data_Ac2Ga6Ge3
_cell_length_a 8.2231
_cell_length_b 8.2231
_cell_length_c 4.3136
_cell_angle_alpha 90.00
_cell_angle_beta 90.00
_cell_angle_gamma 120.00
_symmetry_space_group_name_H-M 'P -6 2 m'
_symmetry_Int_Tables_number 189
_symmetry_space_group_name_Hall 'P -6 -2'
loop_
_atom_site_label
_atom_site_type_symbol
_atom_site_fract_x
_atom_site_fract_y
_atom_site_fract_z
Ac1 Ac 0.3333 0.6667 0.0000
Ga1 Ga 0.0000 0.2714 0.5000
Ga2 Ga 0.0000 0.8076 0.0000
Ge1 Ge 0.0000 0.5926 0.5000
```